KMgFe2: optimized geometry, PBE-GGA.

The distance to the lowest polymorph of the same formula is 217 meV/atom. As for the total energy: -4.203 eV/atom. Its formation enthalpy at 0 K is 701.2 meV/atom. Its total magnetic moment is 5.1 μB per cell.

It has space group Pmmm (No. 47), with a = 2.806 Å, b = 4.295 Å, c = 7.366 Å, α = 90.00°, β = 90.00° and γ = 90.00°. The inequivalent atoms are K at (0.000, 0.000, 0.000), Mg at (0.000, 0.000, 0.500) and Fe at (0.500, 0.500, 0.349).